# 1
A relaxed SmPuSb2 crystal, computed with PBE.

Summary:
- Formation energy from raw total energies: -3.104 eV per formula unit
- Distance to the lowest polymorph of the same formula: 107.5 meV/atom

Geometry as CIF:
```
data_SmPuSb2
_chemical_formula_sum 'Sm3 Pu3 Sb6'
_space_group_name_H-M_alt 'R 3 m'
_space_group_IT_number 160
_space_group_name_Hall 'R 3 -2"'
_cell_length_a 4.4288
_cell_length_b 4.4288
_cell_length_c 22.4407
_cell_angle_alpha 90.00
_cell_angle_beta 90.00
_cell_angle_gamma 120.00
loop_
_atom_site_label
_atom_site_fract_x
_atom_site_fract_y
_atom_site_fract_z
Sm1 0.0000 0.0000 0.0000
Pu1 0.0000 0.0000 0.8289
Sb1 0.0000 0.0000 0.2449
Sb2 0.0000 0.0000 0.4172
```



# 2
A relaxed NbReTeI2 crystal, computed with PBE.

Summary:
- Formation energy from raw total energies: 6.510 eV per formula unit
- Distance to the lowest polymorph of the same formula: 0.0 meV/atom

Geometry as CIF:
```
data_NbReTeI2
_chemical_formula_sum 'Nb1 Re1 Te1 I2'
_space_group_name_H-M_alt 'P 4/m m m'
_space_group_IT_number 123
_space_group_name_Hall '-P 4 2'
_cell_length_a 5.691
_cell_length_b 5.691
_cell_length_c 5.408
_cell_angle_alpha 90.00
_cell_angle_beta 90.00
_cell_angle_gamma 90.00
loop_
_atom_site_label
_atom_site_fract_x
_atom_site_fract_y
_atom_site_fract_z
Nb1 0.000 0.000 0.000
Re1 0.500 0.500 0.500
Te1 0.000 0.000 0.500
I1 0.000 0.500 0.000
```



# 3
A relaxed LaTbHo3 crystal, computed with PBE.

Summary:
- Formation energy: 17.2 kJ/mol of atoms
- Distance to the lowest polymorph of the same formula: 0.0 meV/atom

Geometry as CIF:
```
data_LaTbHo3
_chemical_formula_sum 'La4 Tb4 Ho12'
_space_group_name_H-M_alt 'C m c m'
_space_group_IT_number 63
_space_group_name_Hall '-C 2c 2'
_cell_length_a 5.506
_cell_length_b 11.850
_cell_length_c 10.369
_cell_angle_alpha 90.00
_cell_angle_beta 90.00
_cell_angle_gamma 90.00
loop_
_atom_site_label
_atom_site_fract_x
_atom_site_fract_y
_atom_site_fract_z
La1 0.000 0.051 0.250
Tb1 0.000 0.500 0.000
Ho1 0.000 0.193 0.564
Ho2 0.000 0.329 0.250
```